1.
A relaxed MgGa3H crystal, computed with PBE.

Its distance to the lowest polymorph of the same formula is 0.0000 eV/atom.

Structure (extended XYZ):
```
5
Lattice="-1.464 -3.653 -1.782 -0.742 -1.622 3.935 -3.996 1.639 -0.077" Properties=species:S:1:pos:R:3 pbc="T T T"
H 0.000 0.000 0.000
Mg -3.101 -1.818 1.038
Ga -0.371 -0.811 1.967
Ga -1.998 0.820 -0.039
Ga -0.732 -1.826 -0.891
```



2.
A relaxed LiCdIrOs2 crystal, computed with PBE.

The energy relative to the elements is 2.64 eV/atom.

Structure (extended XYZ):
```
5
Lattice="-3.120 -2.734 -2.712 3.830 -2.375 -2.012 -0.191 -3.376 3.623" Properties=species:S:1:pos:R:3 pbc="T T T"
Ir 1.915 -1.188 -1.006
Os -0.096 -1.688 1.811
Os -1.560 -1.367 -1.356
Li 0.260 -4.243 -0.551
Cd 0.000 0.000 0.000
```



3.
A relaxed TaCOF2 crystal, computed with PBE.

Its distance to the lowest polymorph of the same formula is 0.0000 eV/atom. The raw formation energy is -0.69 eV per atom.

Structure (extended XYZ):
```
5
Lattice="4.116 0.000 0.000 0.000 4.116 0.000 0.000 0.000 3.885" Properties=species:S:1:pos:R:3 pbc="T T T"
C 2.058 2.058 1.943
F 0.000 2.058 0.000
F 2.058 0.000 0.000
O 0.000 0.000 1.943
Ta 0.000 0.000 0.000
```



4.
A relaxed RbBe2ZnH8 crystal, computed with PBE.

The final energy is -35.26 eV per formula unit.

Structure (extended XYZ):
```
12
Lattice="3.989 -0.557 0.330 1.346 3.796 0.330 0.819 0.497 8.000" Properties=species:S:1:pos:R:3 pbc="T T T"
Rb 0.409 0.249 4.000
Be 3.335 2.025 1.889
Be 2.818 1.711 6.771
Zn 0.000 0.000 0.000
H 4.107 1.020 7.016
H 3.925 2.383 0.585
H 3.670 2.228 3.232
H 2.483 1.508 5.428
H 2.228 1.353 8.075
H 2.800 3.173 7.016
H 3.353 0.563 1.644
H 2.046 2.716 1.644
```



5.
A relaxed CsRb2RhCl6 crystal, computed with PBE.

Its distance to the lowest polymorph of the same formula is 0.0333 eV/atom. The raw formation energy is -1.39 eV per atom.

Structure (extended XYZ):
```
10
Lattice="7.861 0.000 0.000 0.000 7.861 0.000 3.931 3.931 5.558" Properties=species:S:1:pos:R:3 pbc="T T T"
Cs 0.000 0.000 0.000
Rh 3.931 3.931 0.000
Rb 7.861 3.931 2.779
Rb 3.931 7.861 2.779
Cl 3.931 3.931 2.363
Cl 7.861 7.861 3.195
Cl 2.260 2.260 0.000
Cl 5.602 5.602 0.000
Cl 5.602 2.260 0.000
Cl 2.260 5.602 0.000
```



6.
A relaxed Sm2TcBr crystal, computed with PBE.

Its distance to the lowest polymorph of the same formula is 0.0000 eV/atom. The raw formation energy is -0.57 eV per atom.

Structure (extended XYZ):
```
4
Lattice="3.506 0.000 0.000 0.000 3.506 0.000 0.000 0.000 8.100" Properties=species:S:1:pos:R:3 pbc="T T T"
Br 1.753 1.753 4.050
Tc 1.753 1.753 0.000
Sm 0.000 0.000 6.421
Sm 0.000 0.000 1.679
```



Number 1: total magnetic moment 0.0000 μB per atom. Number 2: total magnetic moment 1.1145 μB per atom. Number 3: total magnetic moment 0.5605 μB per atom. Number 4: total magnetic moment 0.0000 μB per atom. Number 5: total magnetic moment 0.0000 μB per atom. Number 6: total magnetic moment 0.0000 μB per atom.